(1)
## Re2SbWI (PBE-GGA)

Data for Re2SbWI after structural relaxation.

Output
- Size of the total moment: 1.67 μB per cell
- ρ: 10.58 Mg/m³
- E_tot: -27.5 eV per cell
- Space group: P4/mmm, No. 123
- Raw formation energy: 3.21 eV per atom

Unit cell a=4.8030 b=5.4770 c=4.8030 alpha=90.00 beta=90.00 gamma=90.00
Fractional coordinates of all 5 atoms:
I1 0.0000 0.0000 0.0000
Re1 0.0000 0.0000 0.5000
Re2 0.5000 0.0000 0.0000
W1 0.5000 0.5000 0.5000
Sb1 0.0000 0.5000 0.0000


(2)
## ZnReSbI2 (PBE-GGA)

Data for ZnReSbI2 after structural relaxation.

Output
- Size of the total moment: 1.37 μB per cell
- ρ: 6.39 Mg/m³
- E_tot: -17.2 eV per cell
- Space group: P4/mmm, No. 123
- Raw formation energy: 0.75 eV per atom

Unit cell a=5.6347 b=5.6347 c=5.1346 alpha=90.00 beta=90.00 gamma=90.00
Fractional coordinates of all 5 atoms:
I1 0.0000 0.5000 0.0000
I2 0.5000 0.0000 0.0000
Re1 0.0000 0.0000 0.0000
Zn1 0.5000 0.5000 0.5000
Sb1 0.0000 0.0000 0.5000


- Among the records above, which one has the lowest raw formation energy?
  ZnReSbI2


- What is the formula in the second record?
  ZnReSbI2


- Which of these has the highest E_tot?
  ZnReSbI2